[1]
{
  "formula": "MnRuSeBr2",
  "functional": "PBE-GGA",
  "state": "relaxed",
  "lattice_angstrom": [[4.877, 0.000, 0.000], [0.000, 4.877, 0.000], [0.000, 0.000, 4.502]],
  "species": ["Mn", "Ru", "Se", "Br", "Br"],
  "frac_coords": [[0.000, 0.000, 0.000], [0.500, 0.500, 0.500], [0.000, 0.000, 0.500], [0.000, 0.500, 0.000], [0.500, 0.000, 0.000]],
  "raw_formation_energy_ev_per_fu": 5.28,
  "final_energy_ev_per_atom": -4.00,
  "n_ef_per_ev_cell": 11.1,
  "e_above_lowest_polymorph_mev_per_atom": 642
}


[2]
{
  "formula": "Nd5TlPd",
  "functional": "PBE-GGA",
  "state": "relaxed",
  "lattice_angstrom": [[4.601, -4.052, 0.000], [4.601, 4.052, 0.000], [-3.125, 0.000, 11.586]],
  "species": ["Nd", "Nd", "Nd", "Nd", "Nd", "Nd", "Nd", "Nd", "Nd", "Nd", "Tl", "Tl", "Pd", "Pd"],
  "frac_coords": [[0.007, 0.993, 0.750], [0.075, 0.440, 0.130], [0.224, 0.528, 0.443], [0.440, 0.075, 0.630], [0.472, 0.776, 0.057], [0.528, 0.224, 0.943], [0.560, 0.925, 0.370], [0.776, 0.472, 0.557], [0.925, 0.560, 0.870], [0.993, 0.007, 0.250], [0.402, 0.598, 0.750], [0.598, 0.402, 0.250], [0.000, 0.000, 0.000], [0.000, 0.000, 0.500]],
  "final_energy_ev_per_atom": -4.70,
  "n_ef_per_ev_cell": 16.6,
  "formation_energy_mev_per_atom": -210
}


[3]
{
  "formula": "Ca3ZrMn",
  "functional": "PBE-GGA",
  "state": "relaxed",
  "lattice_angstrom": [[5.659, 0.000, 0.000], [0.000, 5.659, 0.000], [0.000, 0.000, 5.659]],
  "species": ["Ca", "Ca", "Ca", "Zr", "Mn"],
  "frac_coords": [[0.000, 0.000, 0.500], [0.000, 0.500, 0.000], [0.500, 0.000, 0.000], [0.000, 0.000, 0.000], [0.500, 0.500, 0.500]],
  "final_energy_ev_per_atom": -3.53,
  "n_ef_per_ev_cell": 2.9,
  "formation_energy_mev_per_atom": 1219
}


[4]
{
  "formula": "Re2Sb",
  "functional": "PBE-GGA",
  "state": "relaxed",
  "lattice_angstrom": [[-1.914, 1.914, 8.102], [1.914, -1.914, 8.102], [1.914, 1.914, -8.102]],
  "species": ["Re", "Re", "Re", "Re", "Sb", "Sb"],
  "frac_coords": [[0.295, 0.545, 0.750], [0.455, 0.705, 0.750], [0.545, 0.295, 0.250], [0.705, 0.455, 0.250], [0.125, 0.875, 0.250], [0.875, 0.125, 0.750]],
  "raw_formation_energy_ev_per_fu": 2.92,
  "final_energy_ev_per_atom": -8.70,
  "n_ef_per_ev_cell": 5.4,
  "e_above_lowest_polymorph_mev_per_atom": 773
}


[5]
{
  "formula": "Tb3Dy2Y6Tm",
  "functional": "PBE-GGA",
  "state": "relaxed",
  "lattice_angstrom": [[3.082, -5.331, 0.000], [3.082, 5.331, 0.000], [-2.043, 0.000, 11.608]],
  "species": ["Tb", "Tb", "Tb", "Dy", "Dy", "Y", "Y", "Y", "Y", "Y", "Y", "Tm"],
  "frac_coords": [[0.000, 0.000, 0.000], [0.333, 0.667, 0.000], [0.667, 0.333, 0.000], [0.167, 0.833, 0.500], [0.833, 0.167, 0.500], [0.084, 0.417, 0.251], [0.250, 0.250, 0.749], [0.417, 0.084, 0.251], [0.583, 0.916, 0.749], [0.750, 0.750, 0.251], [0.916, 0.583, 0.749], [0.500, 0.500, 0.500]],
  "final_energy_ev_per_atom": -5.51,
  "n_ef_per_ev_cell": 17.3,
  "formation_energy_mev_per_atom": 21
}


[6]
{
  "formula": "PuTh2Ir",
  "functional": "PBE-GGA",
  "state": "relaxed",
  "lattice_angstrom": [[3.660, 0.000, 0.000], [0.000, 3.660, 0.000], [0.000, 0.000, 7.668]],
  "species": ["Pu", "Th", "Th", "Ir"],
  "frac_coords": [[0.000, 0.000, 0.000], [0.500, 0.500, 0.282], [0.500, 0.500, 0.718], [0.000, 0.000, 0.500]],
  "final_energy_ev_per_atom": -9.80,
  "n_ef_per_ev_cell": 8.8,
  "formation_energy_mev_per_atom": -291,
  "e_above_lowest_polymorph_mev_per_atom": 0
}


[7]
{
  "formula": "Ni2H5Rh",
  "functional": "PBE-GGA",
  "state": "relaxed",
  "lattice_angstrom": [[7.548, 0.000, 0.000], [0.000, 5.779, 0.000], [0.000, 0.000, 4.668]],
  "species": ["Ni", "Ni", "Ni", "Ni", "Ni", "Ni", "Ni", "Ni", "H", "H", "H", "H", "H", "H", "H", "H", "H", "H", "H", "H", "H", "H", "H", "H", "H", "H", "H", "H", "Rh", "Rh", "Rh", "Rh"],
  "frac_coords": [[0.177, 0.031, 0.047], [0.177, 0.469, 0.047], [0.323, 0.531, 0.547], [0.323, 0.969, 0.547], [0.677, 0.031, 0.453], [0.677, 0.469, 0.453], [0.823, 0.531, 0.953], [0.823, 0.969, 0.953], [0.010, 0.250, 0.958], [0.106, 0.527, 0.682], [0.106, 0.973, 0.682], [0.192, 0.250, 0.316], [0.218, 0.750, 0.352], [0.282, 0.250, 0.852], [0.308, 0.750, 0.816], [0.394, 0.027, 0.182], [0.394, 0.473, 0.182], [0.490, 0.750, 0.458], [0.510, 0.250, 0.542], [0.606, 0.527, 0.818], [0.606, 0.973, 0.818], [0.692, 0.250, 0.184], [0.718, 0.750, 0.148], [0.782, 0.250, 0.648], [0.808, 0.750, 0.684], [0.894, 0.027, 0.318], [0.894, 0.473, 0.318], [0.990, 0.750, 0.042], [0.014, 0.250, 0.580], [0.486, 0.750, 0.080], [0.514, 0.250, 0.920], [0.986, 0.750, 0.420]],
  "final_energy_ev_per_atom": -4.41,
  "n_ef_per_ev_cell": 9.7
}


[8]
{
  "formula": "Tm8Zn2In",
  "functional": "PBE-GGA",
  "state": "relaxed",
  "lattice_angstrom": [[7.952, -2.540, 0.000], [7.952, 2.540, 0.000], [-3.820, 0.000, 7.165]],
  "species": ["Tm", "Tm", "Tm", "Tm", "Tm", "Tm", "Tm", "Tm", "Zn", "Zn", "In"],
  "frac_coords": [[0.064, 0.064, 0.226], [0.151, 0.151, 0.711], [0.314, 0.314, 0.535], [0.395, 0.395, 0.033], [0.605, 0.605, 0.967], [0.686, 0.686, 0.465], [0.849, 0.849, 0.289], [0.936, 0.936, 0.774], [0.218, 0.218, 0.119], [0.782, 0.782, 0.881], [0.500, 0.500, 0.500]],
  "final_energy_ev_per_atom": -3.94,
  "n_ef_per_ev_cell": 8.4,
  "formation_energy_mev_per_atom": -205,
  "e_above_lowest_polymorph_mev_per_atom": 0
}


[9]
{
  "formula": "PdRu2Pt8",
  "functional": "PBE-GGA",
  "state": "relaxed",
  "lattice_angstrom": [[7.111, -1.960, 0.000], [7.111, 1.960, 0.000], [-1.644, 0.000, 6.030]],
  "species": ["Pd", "Ru", "Ru", "Pt", "Pt", "Pt", "Pt", "Pt", "Pt", "Pt", "Pt"],
  "frac_coords": [[0.000, 0.000, 0.000], [0.271, 0.271, 0.370], [0.729, 0.729, 0.630], [0.095, 0.095, 0.462], [0.184, 0.184, 0.916], [0.361, 0.361, 0.806], [0.451, 0.451, 0.270], [0.549, 0.549, 0.730], [0.639, 0.639, 0.194], [0.816, 0.816, 0.084], [0.905, 0.905, 0.538]],
  "final_energy_ev_per_atom": -6.57,
  "n_ef_per_ev_cell": 17.2,
  "formation_energy_mev_per_atom": -19
}


[10]
{
  "formula": "TbErP2",
  "functional": "PBE-GGA",
  "state": "relaxed",
  "lattice_angstrom": [[3.998, -7.997, 0.000], [3.998, 7.997, 0.000], [-3.997, 0.000, 5.654]],
  "species": ["Tb", "Tb", "Tb", "Tb", "Er", "Er", "Er", "Er", "P", "P", "P", "P", "P", "P", "P", "P"],
  "frac_coords": [[0.063, 0.937, 0.750], [0.312, 0.688, 0.750], [0.688, 0.312, 0.250], [0.937, 0.063, 0.250], [0.187, 0.813, 0.250], [0.438, 0.562, 0.250], [0.562, 0.438, 0.750], [0.813, 0.187, 0.750], [0.064, 0.439, 0.247], [0.189, 0.314, 0.753], [0.314, 0.189, 0.253], [0.439, 0.064, 0.747], [0.561, 0.936, 0.253], [0.686, 0.811, 0.747], [0.811, 0.686, 0.247], [0.936, 0.561, 0.753]],
  "final_energy_ev_per_atom": -6.62,
  "n_ef_per_ev_cell": 2.0,
  "formation_energy_mev_per_atom": -1612,
  "e_above_lowest_polymorph_mev_per_atom": 0
}


[11]
{
  "formula": "Sm2HoTl2Ag2",
  "functional": "PBE-GGA",
  "state": "relaxed",
  "lattice_angstrom": [[2.445, 1.411, 9.104], [-2.445, 1.411, 9.104], [0.000, -2.823, 9.104]],
  "species": ["Sm", "Sm", "Ho", "Tl", "Tl", "Ag", "Ag"],
  "frac_coords": [[0.124, 0.124, 0.124], [0.876, 0.876, 0.876], [0.000, 0.000, 0.000], [0.261, 0.261, 0.261], [0.739, 0.739, 0.739], [0.390, 0.390, 0.390], [0.610, 0.610, 0.610]],
  "final_energy_ev_per_atom": -3.67,
  "n_ef_per_ev_cell": 5.5,
  "formation_energy_mev_per_atom": -176
}


[12]
{
  "formula": "CsAgSe5",
  "functional": "PBE-GGA",
  "state": "relaxed",
  "lattice_angstrom": [[7.101, 0.000, 0.000], [-2.415, 6.691, 0.000], [-2.255, -3.241, 9.690]],
  "species": ["Cs", "Cs", "Ag", "Ag", "Se", "Se", "Se", "Se", "Se", "Se", "Se", "Se", "Se", "Se"],
  "frac_coords": [[0.167, 0.334, 0.251], [0.833, 0.666, 0.749], [0.000, 0.000, 0.500], [0.500, 0.500, 0.000], [0.110, 0.308, 0.849], [0.193, 0.389, 0.652], [0.357, 0.922, 0.388], [0.407, 0.092, 0.750], [0.422, 0.857, 0.887], [0.578, 0.143, 0.113], [0.593, 0.908, 0.250], [0.643, 0.078, 0.612], [0.807, 0.611, 0.348], [0.890, 0.692, 0.151]],
  "raw_formation_energy_ev_per_fu": -1.84,
  "final_energy_ev_per_atom": -3.28
}


Number 9 is which compound? PdRu2Pt8